(1)
Here is a relaxed SbCl3 crystal from the Alexandria database. Energies are from PBE.

Cell lengths 4.926, 4.926, 4.926 Å; angles 60.00, 60.00, 60.00 degrees
Fractional coordinates of all 4 atoms:
1 Sb 0.000 0.000 0.000
2 Cl 0.250 0.250 0.250
3 Cl 0.500 0.500 0.500
4 Cl 0.750 0.750 0.750

## Properties
N(E_F)	0.0	states/eV/cell
symmetry	Fm-3m, No. 225
crystal system	cubic
calculated total energy	-10.50	eV for the cell shown



(2)
Here is a relaxed Sb2Cl13 crystal from the Alexandria database. Energies are from PBE.

Cell lengths 7.906, 8.054, 9.997 Å; angles 77.55, 74.66, 71.98 degrees
Fractional coordinates of all 15 atoms:
1 Sb 0.136 0.139 0.237
2 Sb 0.864 0.861 0.763
3 Cl 0.000 0.000 0.500
4 Cl 0.055 0.405 0.338
5 Cl 0.175 0.787 0.789
6 Cl 0.179 0.856 0.181
7 Cl 0.244 0.266 0.010
8 Cl 0.391 0.557 0.568
9 Cl 0.417 0.050 0.309
10 Cl 0.583 0.950 0.691
11 Cl 0.609 0.443 0.432
12 Cl 0.756 0.734 0.990
13 Cl 0.821 0.144 0.819
14 Cl 0.825 0.213 0.211
15 Cl 0.945 0.595 0.662

## Properties
N(E_F)	15.0	states/eV/cell
symmetry	P-1, No. 2
crystal system	triclinic
calculated total energy	-39.14	eV for the cell shown